First-principles (PBE-GGA) data for a geometry-optimized CrSiCl2 structure, as listed in the Alexandria database.

Total magnetic moment   3.3 μB/cell
Space group   P4mm, No. 99
N(E_F)   0.6216 states/eV/atom
Uncorrected formation energy   -0.083 eV per atom

Unit cell a=3.1486 b=3.1486 c=8.1073 alpha=90.00 beta=90.00 gamma=90.00
Closest atoms and distances in Å follow each position.
Element x y z (fractional)
Cr 0.0000 0.0000 0.0000  4 Si 2.59, 4 Cl 2.68
Si 0.5000 0.5000 0.1636  4 Cr 2.59, 5 Cl 2.77-2.81
Cl 0.0000 0.0000 0.3663  4 Si 2.77, 1 Cr 2.97
Cl 0.5000 0.5000 0.8170  4 Cr 2.68, 1 Si 2.81